# Rb2BeCoF PBE+U optimized geometry
data_Rb2BeCoF
_chemical_formula_sum 'Rb2 Be1 Co1 F1'
_symmetry_space_group_name_H-M 'P 4/m m m'
_symmetry_Int_Tables_number 123
_symmetry_space_group_name_Hall '-P 4 2'
_cell_length_a 6.0669
_cell_length_b 6.0669
_cell_length_c 4.0860
_cell_angle_alpha 90.00
_cell_angle_beta 90.00
_cell_angle_gamma 90.00
loop_
_atom_site_label
_atom_site_type_symbol
_atom_site_fract_x
_atom_site_fract_y
_atom_site_fract_z
_atom_site_occupancy
Rb1 Rb 0.0000 0.5000 0.0000 1
Be1 Be 0.0000 0.0000 0.5000 1
Co1 Co 0.0000 0.0000 0.0000 1
F1 F 0.5000 0.5000 0.5000 1
# **E_tot**: -12.78 eV/f.u.
# **Volume**: 30.1 A^3/atom